*A*
Entry from the Alexandria database: crystalline Na3HfTl at its relaxed geometry (PBE).

Cell and atoms, written as POSCAR:
```
Na3HfTl
1.0
-2.558 -4.722 1.669
-1.608 -1.000 -5.296
4.744 -2.886 -0.895
Tl Na Hf
1 3 1
direct
0.000 0.000 0.000
0.500 0.000 0.000
0.000 0.000 0.500
0.000 0.500 0.000
0.500 0.500 0.500
```

## Properties
**Symmetry**: No. 221
**N(E_F)**: 1.79 states/eV per atom
**Magnetization**: 1.73 Bohr magnetons per cell

---

*B*
Entry from the Alexandria database: crystalline Na3HfTl at its relaxed geometry (PBE).

Cell and atoms, written as POSCAR:
```
Na3HfTl
1.0
6.103 0.000 0.000
0.000 6.103 0.000
0.000 0.000 6.103
Na Tl Hf
3 1 1
direct
0.000 0.500 0.000
0.500 0.000 0.000
0.000 0.000 0.500
0.500 0.500 0.500
0.000 0.000 0.000
```

## Properties
**Symmetry**: No. 221
**N(E_F)**: 2.56 states/eV per atom
**Magnetization**: 3.29 Bohr magnetons per cell

---

Which one is most stable, and which one is least stable? *A* is the most stable of them, while *B* is the least stable.

---

*A*
Entry from the Alexandria database: crystalline NaHf2V at its relaxed geometry (PBE).

Cell and atoms, written as POSCAR:
```
NaHf2V
1.0
-3.632 -6.221 1.623
4.481 -1.113 5.763
-2.964 -0.860 6.870
Na Hf V
2 4 2
direct
0.500 0.500 0.000
0.250 0.750 0.500
0.875 0.625 0.250
0.875 0.125 0.750
0.375 0.125 0.750
0.875 0.125 0.250
0.000 0.000 0.000
0.750 0.250 0.500
```

## Properties
**Symmetry**: No. 141
**N(E_F)**: 0.36 states/eV per atom
**Magnetization**: 0.00 Bohr magnetons per cell

---

*B*
Entry from the Alexandria database: crystalline NaHf2V at its relaxed geometry (PBE).

Cell and atoms, written as POSCAR:
```
NaHf2V
1.0
3.436 -3.132 1.412
-1.160 -4.628 0.917
1.469 -3.516 -3.014
Hf Na V
2 1 1
direct
0.750 0.750 0.750
0.250 0.250 0.250
0.000 0.000 0.000
0.500 0.500 0.500
```

## Properties
**Symmetry**: No. 225
**N(E_F)**: 0.99 states/eV per atom
**Magnetization**: 2.74 Bohr magnetons per cell

---

Which one is most stable, and which one is least stable? *B* is the most stable of them, while *A* is the least stable.

---

*A*
Entry from the Alexandria database: crystalline NaHf2W at its relaxed geometry (PBE).

Cell and atoms, written as POSCAR:
```
NaHf2W
1.0
-2.874 -1.337 3.619
-0.909 3.055 3.604
-4.372 1.957 0.449
W Na Hf
1 1 2
direct
0.500 0.500 0.500
0.000 0.000 0.000
0.750 0.750 0.750
0.250 0.250 0.250
```

## Properties
**Symmetry**: No. 225
**N(E_F)**: 0.98 states/eV per atom
**Magnetization**: 0.00 Bohr magnetons per cell

---

*B*
Entry from the Alexandria database: crystalline NaHf2W at its relaxed geometry (PBE).

Cell and atoms, written as POSCAR:
```
NaHf2W
1.0
-2.299 -3.493 0.632
2.663 -2.195 -2.446
5.587 -4.988 6.903
Hf Na W
4 2 2
direct
0.105 0.625 0.250
0.875 0.895 0.750
0.375 0.355 0.750
0.645 0.125 0.250
0.500 0.500 0.000
0.250 0.750 0.500
0.000 0.000 0.000
0.750 0.250 0.500
```

## Properties
**Symmetry**: No. 122
**N(E_F)**: 1.05 states/eV per atom
**Magnetization**: 0.00 Bohr magnetons per cell

---

Which one is most stable, and which one is least stable? *A* is the most stable of them, while *B* is the least stable.

---

*A*
Entry from the Alexandria database: crystalline Na3HfW at its relaxed geometry (PBE).

Cell and atoms, written as POSCAR:
```
Na3HfW
1.0
5.343 0.000 0.000
0.000 5.343 0.000
0.000 0.000 5.343
Na Hf W
3 1 1
direct
0.000 0.500 0.000
0.000 0.000 0.500
0.500 0.000 0.000
0.000 0.000 0.000
0.500 0.500 0.500
```

## Properties
**Symmetry**: No. 221
**N(E_F)**: 1.70 states/eV per atom
**Magnetization**: 0.76 Bohr magnetons per cell

---

*B*
Entry from the Alexandria database: crystalline Na3HfW at its relaxed geometry (PBE).

Cell and atoms, written as POSCAR:
```
Na3HfW
1.0
5.521 0.000 0.000
0.000 5.521 0.000
0.000 0.000 5.521
Na Hf W
3 1 1
direct
0.500 0.000 0.000
0.000 0.000 0.500
0.000 0.500 0.000
0.500 0.500 0.500
0.000 0.000 0.000
```

## Properties
**Symmetry**: No. 221
**N(E_F)**: 1.05 states/eV per atom
**Magnetization**: 1.76 Bohr magnetons per cell

---

Which one is most stable, and which one is least stable? *B* is the most stable of them, while *A* is the least stable.